[1]
VASP calculation (PBE-GGA) on a relaxed structure of Dy3TaO7.

Unit cell a=6.4284 b=6.4284 c=7.4313 alpha=90.00 beta=90.00 gamma=109.09
Positions (direct):
Dy 0.0279 0.0279 0.0000
Dy 0.0358 0.4997 0.7430
Dy 0.4997 0.0358 0.2570
Dy 0.5003 0.9642 0.7570
Dy 0.9642 0.5003 0.2430
Dy 0.9721 0.9721 0.5000
Ta 0.4978 0.4978 0.5000
Ta 0.5022 0.5022 0.0000
O 0.1296 0.8704 0.2500
O 0.1379 0.8621 0.7500
O 0.1718 0.4181 0.0264
O 0.1867 0.4425 0.4582
O 0.4181 0.1718 0.9736
O 0.4312 0.5688 0.7500
O 0.4425 0.1867 0.5418
O 0.5575 0.8133 0.0418
O 0.5688 0.4312 0.2500
O 0.5819 0.8282 0.4736
O 0.8133 0.5575 0.9582
O 0.8282 0.5819 0.5264
O 0.8621 0.1379 0.2500
O 0.8704 0.1296 0.7500

Total moment, μB/atom: 0.000
Polymorph energy (0 for the lowest one), meV/atom: 0.0
Volume, Å³/atom: 13.2

***

[2]
VASP calculation (PBE-GGA) on a relaxed structure of YZn2.

Unit cell a=5.8193 b=5.8193 c=4.5250 alpha=90.00 beta=90.00 gamma=49.94
Positions (direct):
Y 0.2346 0.7654 0.7500
Y 0.7654 0.2346 0.2500
Zn 0.1356 0.4781 0.2500
Zn 0.4781 0.1356 0.7500
Zn 0.5219 0.8644 0.2500
Zn 0.8644 0.5219 0.7500

Total moment, μB/atom: 0.019
ΔH_f (0 K), eV/atom: -0.2241
Volume, Å³/atom: 19.5

***

[3]
VASP calculation (PBE-GGA) on a relaxed structure of PrUPd.

Unit cell a=4.8661 b=4.8661 c=4.8661 alpha=60.00 beta=60.00 gamma=60.00
Positions (direct):
Pr 0.0000 0.0000 0.0000
U 0.5000 0.5000 0.5000
Pd 0.2500 0.2500 0.2500

Total moment, μB/atom: 1.381
Polymorph energy (0 for the lowest one), meV/atom: 0.0
ΔH_f (0 K), eV/atom: 0.2464
Volume, Å³/atom: 27.2

***

[4]
VASP calculation (PBE-GGA) on a relaxed structure of TlTe5Os3.

Unit cell a=5.9666 b=5.9666 c=7.8354 alpha=90.00 beta=90.00 gamma=120.00
Positions (direct):
Tl 0.0000 0.0000 0.0000
Te 0.0000 0.0000 0.5000
Te 0.3333 0.6667 0.2431
Te 0.3333 0.6667 0.7569
Te 0.6667 0.3333 0.2431
Te 0.6667 0.3333 0.7569
Os 0.0000 0.5000 0.5000
Os 0.5000 0.0000 0.5000
Os 0.5000 0.5000 0.5000

Total moment, μB/atom: 0.000
DFT total energy, eV/cell: -49.1
Volume, Å³/atom: 26.8

***

[5]
VASP calculation (PBE-GGA) on a relaxed structure of CoSiAgIr.

Unit cell a=4.2539 b=4.2539 c=4.2539 alpha=60.00 beta=60.00 gamma=60.00
Positions (direct):
Co 0.0000 0.0000 0.0000
Si 0.7500 0.7500 0.7500
Ag 0.2500 0.2500 0.2500
Ir 0.5000 0.5000 0.5000

Total moment, μB/atom: 0.071
Polymorph energy (0 for the lowest one), meV/atom: 0.0
Volume, Å³/atom: 13.6

***

[6]
VASP calculation (PBE-GGA) on a relaxed structure of ZnCuAgW.

Unit cell a=4.4036 b=4.4036 c=4.4036 alpha=60.00 beta=60.00 gamma=60.00
Positions (direct):
Zn 0.0000 0.0000 0.0000
Cu 0.2500 0.2500 0.2500
Ag 0.7500 0.7500 0.7500
W 0.5000 0.5000 0.5000

Total moment, μB/atom: 0.060
Polymorph energy (0 for the lowest one), meV/atom: 0.0
ΔH_f (0 K), eV/atom: 0.6741
Volume, Å³/atom: 15.1

***

[7]
VASP calculation (PBE-GGA) on a relaxed structure of NiPdSe.

Unit cell a=5.8209 b=5.8209 c=5.8209 alpha=90.00 beta=90.00 gamma=90.00
Positions (direct):
Ni 0.0518 0.4482 0.5518
Ni 0.4482 0.5518 0.0518
Ni 0.5518 0.0518 0.4482
Ni 0.9482 0.9482 0.9482
Pd 0.1849 0.8151 0.3151
Pd 0.3151 0.1849 0.8151
Pd 0.6849 0.6849 0.6849
Pd 0.8151 0.3151 0.1849
Se 0.0562 0.5562 0.9438
Se 0.4438 0.4438 0.4438
Se 0.5562 0.9438 0.0562
Se 0.9438 0.0562 0.5562

Total moment, μB/atom: 0.001
DFT total energy, eV/cell: -57.7
Volume, Å³/atom: 16.4

***

[8]
VASP calculation (PBE-GGA) on a relaxed structure of LaNbTe.

Unit cell a=4.9706 b=4.9706 c=4.9706 alpha=60.00 beta=60.00 gamma=60.00
Positions (direct):
La 0.0000 0.0000 0.0000
Nb 0.5000 0.5000 0.5000
Te 0.2500 0.2500 0.2500

Total moment, μB/atom: 0.002
Polymorph energy (0 for the lowest one), meV/atom: 0.0
Volume, Å³/atom: 28.9

***

[9]
VASP calculation (PBE-GGA) on a relaxed structure of LiScPt2.

Unit cell a=4.4312 b=4.4312 c=8.4142 alpha=90.00 beta=90.00 gamma=120.00
Positions (direct):
Li 0.3333 0.6667 0.2500
Li 0.6667 0.3333 0.7500
Sc 0.0000 0.0000 0.0000
Sc 0.0000 0.0000 0.5000
Pt 0.3333 0.6667 0.5951
Pt 0.3333 0.6667 0.9049
Pt 0.6667 0.3333 0.0951
Pt 0.6667 0.3333 0.4049

Total moment, μB/atom: 0.001
Polymorph energy (0 for the lowest one), meV/atom: 215.2
Volume, Å³/atom: 17.9

***

[10]
VASP calculation (PBE-GGA) on a relaxed structure of NaScSiPd.

Unit cell a=4.5402 b=4.5402 c=4.5402 alpha=60.00 beta=60.00 gamma=60.00
Positions (direct):
Na 0.0000 0.0000 0.0000
Sc 0.7500 0.7500 0.7500
Si 0.2500 0.2500 0.2500
Pd 0.5000 0.5000 0.5000

Total moment, μB/atom: 0.000
Polymorph energy (0 for the lowest one), meV/atom: 0.0
Volume, Å³/atom: 16.5

***

[11]
VASP calculation (PBE-GGA) on a relaxed structure of Sb3Pd8.

Unit cell a=15.1588 b=15.1588 c=15.1588 alpha=29.34 beta=29.34 gamma=29.34
Positions (direct):
Sb 0.0000 0.0000 0.0000
Sb 0.0888 0.7247 0.4072
Sb 0.1569 0.1569 0.1569
Sb 0.2242 0.5896 0.9068
Sb 0.3142 0.3142 0.3142
Sb 0.4072 0.0888 0.7247
Sb 0.4999 0.4999 0.4999
Sb 0.5896 0.9068 0.2242
Sb 0.6564 0.6564 0.6564
Sb 0.7247 0.4072 0.0888
Sb 0.8138 0.8138 0.8138
Sb 0.9068 0.2242 0.5896
Pd 0.0104 0.5294 0.2749
Pd 0.0134 0.6437 0.3667
Pd 0.0316 0.5089 0.7742
Pd 0.0399 0.3047 0.7820
Pd 0.0950 0.0950 0.0950
Pd 0.1438 0.5144 0.8649
Pd 0.1698 0.7995 0.4485
Pd 0.2186 0.2186 0.2186
Pd 0.2749 0.0104 0.5294
Pd 0.2817 0.8054 0.5392
Pd 0.2985 0.6702 0.9498
Pd 0.3047 0.7820 0.0399
Pd 0.3667 0.0134 0.6437
Pd 0.3752 0.3752 0.3752
Pd 0.4386 0.4386 0.4386
Pd 0.4485 0.1698 0.7995
Pd 0.5089 0.7742 0.0316
Pd 0.5144 0.8649 0.1438
Pd 0.5294 0.2749 0.0104
Pd 0.5392 0.2817 0.8054
Pd 0.5947 0.5947 0.5947
Pd 0.6437 0.3667 0.0134
Pd 0.6702 0.9498 0.2985
Pd 0.7185 0.7185 0.7185
Pd 0.7742 0.0316 0.5089
Pd 0.7820 0.0399 0.3047
Pd 0.7995 0.4485 0.1698
Pd 0.8054 0.5392 0.2817
Pd 0.8649 0.1438 0.5144
Pd 0.8752 0.8752 0.8752
Pd 0.9387 0.9387 0.9387
Pd 0.9498 0.2985 0.6702

DFT total energy, eV/cell: -235.1
Volume, Å³/atom: 16.8

***

[12]
VASP calculation (PBE-GGA) on a relaxed structure of RbAgPtO3.

Unit cell a=12.0430 b=3.2050 c=10.4539 alpha=90.00 beta=90.00 gamma=90.00
Positions (direct):
Rb 0.2273 0.2500 0.1466
Rb 0.2727 0.7500 0.6466
Rb 0.7273 0.2500 0.3534
Rb 0.7727 0.7500 0.8534
Ag 0.0350 0.2500 0.9091
Ag 0.4650 0.7500 0.4091
Ag 0.5350 0.2500 0.5909
Ag 0.9650 0.7500 0.0909
Pt 0.0061 0.2500 0.3714
Pt 0.4939 0.7500 0.8714
Pt 0.5061 0.2500 0.1286
Pt 0.9939 0.7500 0.6286
O 0.0825 0.2500 0.5501
O 0.0879 0.7500 0.7855
O 0.0939 0.7500 0.3040
O 0.4061 0.2500 0.8040
O 0.4121 0.2500 0.2855
O 0.4175 0.7500 0.0501
O 0.5825 0.2500 0.9499
O 0.5879 0.7500 0.7145
O 0.5939 0.7500 0.1960
O 0.9061 0.2500 0.6960
O 0.9121 0.2500 0.2145
O 0.9175 0.7500 0.4499

Total moment, μB/atom: 0.002
DFT total energy, eV/cell: -113.8
Volume, Å³/atom: 16.8

***

[13]
VASP calculation (PBE-GGA) on a relaxed structure of LiGaPt.

Unit cell a=4.3968 b=4.3968 c=5.3063 alpha=90.00 beta=90.00 gamma=120.00
Positions (direct):
Li 0.0000 0.0000 0.0000
Li 0.0000 0.0000 0.5000
Ga 0.3333 0.6667 0.2500
Ga 0.6667 0.3333 0.7500
Pt 0.3333 0.6667 0.7500
Pt 0.6667 0.3333 0.2500

Total moment, μB/atom: 0.000
DFT total energy, eV/cell: -26.2
Volume, Å³/atom: 14.8

***

[14]
VASP calculation (PBE-GGA) on a relaxed structure of AlCdGaSe4.

Unit cell a=7.8221 b=7.8221 c=10.8792 alpha=90.00 beta=90.00 gamma=90.00
Positions (direct):
Al 0.0000 0.2555 0.0000
Al 0.0000 0.7445 0.5000
Al 0.2555 0.0000 0.7500
Al 0.7445 0.0000 0.2500
Cd 0.2556 0.5000 0.7500
Cd 0.5000 0.2556 0.0000
Cd 0.5000 0.7444 0.5000
Cd 0.7444 0.5000 0.2500
Ga 0.2392 0.2392 0.3750
Ga 0.2392 0.7608 0.1250
Ga 0.7608 0.2392 0.6250
Ga 0.7608 0.7608 0.8750
Se 0.0187 0.2338 0.7638
Se 0.0187 0.7662 0.7362
Se 0.2338 0.0187 0.9862
Se 0.2345 0.4886 0.0078
Se 0.2345 0.5114 0.4922
Se 0.2338 0.9813 0.5138
Se 0.4886 0.2345 0.7422
Se 0.4886 0.7655 0.7578
Se 0.5114 0.2345 0.2578
Se 0.5114 0.7655 0.2422
Se 0.7662 0.0187 0.0138
Se 0.7655 0.4886 0.9922
Se 0.7655 0.5114 0.5078
Se 0.7662 0.9813 0.4862
Se 0.9813 0.2338 0.2362
Se 0.9813 0.7662 0.2638

Polymorph energy (0 for the lowest one), meV/atom: 127.3
Volume, Å³/atom: 23.8

***

[15]
VASP calculation (PBE-GGA) on a relaxed structure of YLu.

Unit cell a=3.5879 b=3.5879 c=5.5591 alpha=90.00 beta=90.00 gamma=120.00
Positions (direct):
Y 0.0000 0.0000 0.0000
Lu 0.3333 0.6667 0.5000

Total moment, μB/atom: 0.042
Polymorph energy (0 for the lowest one), meV/atom: 0.0
ΔH_f (0 K), eV/atom: 0.0055
Volume, Å³/atom: 31.0

***

[16]
VASP calculation (PBE-GGA) on a relaxed structure of TaCd2Co.

Unit cell a=4.5553 b=4.5553 c=4.5553 alpha=60.00 beta=60.00 gamma=60.00
Positions (direct):
Ta 0.0000 0.0000 0.0000
Cd 0.5000 0.5000 0.5000
Cd 0.7500 0.7500 0.7500
Co 0.2500 0.2500 0.2500

Total moment, μB/atom: 0.002
ΔH_f (0 K), eV/atom: 0.3756
Volume, Å³/atom: 16.7

***

[17]
VASP calculation (PBE-GGA) on a relaxed structure of Dy2TmNiSn3Pt2.

Unit cell a=3.9103 b=7.4792 c=7.4792 alpha=119.81 beta=90.00 gamma=90.00
Positions (direct):
Dy 0.0000 0.2026 0.7974
Dy 0.0000 0.7974 0.2026
Tm 0.0000 0.3929 0.3929
Ni 0.0000 0.7957 0.7957
Sn 0.5000 0.0465 0.0465
Sn 0.5000 0.5483 0.7968
Sn 0.5000 0.7968 0.5483
Pt 0.5000 0.1332 0.4635
Pt 0.5000 0.4635 0.1332

Total moment, μB/atom: 0.000
DFT total energy, eV/cell: -52.2
Volume, Å³/atom: 21.1

***

[18]
VASP calculation (PBE-GGA) on a relaxed structure of GdErCu2P4.

Unit cell a=3.7189 b=3.7189 c=9.7199 alpha=90.00 beta=90.00 gamma=90.00
Positions (direct):
Gd 0.0000 0.0000 0.0000
Er 0.5000 0.5000 0.5376
Cu 0.0000 0.5000 0.2719
Cu 0.5000 0.0000 0.2719
P 0.0000 0.0000 0.4282
P 0.0000 0.5000 0.7660
P 0.5000 0.0000 0.7660
P 0.5000 0.5000 0.1165

Total moment, μB/atom: 0.000
DFT total energy, eV/cell: -45.3
Volume, Å³/atom: 16.8

***

[19]
VASP calculation (PBE-GGA) on a relaxed structure of Co10W3.

Unit cell a=8.7670 b=8.7670 c=8.7670 alpha=30.94 beta=30.94 gamma=30.94
Positions (direct):
Co 0.0447 0.0447 0.0447
Co 0.0764 0.5864 0.5864
Co 0.3360 0.3360 0.3360
Co 0.4136 0.4136 0.9236
Co 0.4136 0.9236 0.4136
Co 0.5864 0.0764 0.5864
Co 0.5864 0.5864 0.0764
Co 0.6640 0.6640 0.6640
Co 0.9236 0.4136 0.4136
Co 0.9553 0.9553 0.9553
W 0.1468 0.1468 0.1468
W 0.5000 0.5000 0.5000
W 0.8532 0.8532 0.8532

Total moment, μB/atom: 1.100
Polymorph energy (0 for the lowest one), meV/atom: 0.0
ΔH_f (0 K), eV/atom: 0.1404
Volume, Å³/atom: 12.2

***

[20]
VASP calculation (PBE-GGA) on a relaxed structure of TbScCSe.

Unit cell a=3.6499 b=3.6499 c=12.8605 alpha=90.00 beta=90.00 gamma=120.00
Positions (direct):
Tb 0.0000 0.0000 0.1584
Tb 0.0000 0.0000 0.8416
Sc 0.3333 0.6667 0.3572
Sc 0.3333 0.6667 0.6428
C 0.6667 0.3333 0.2636
C 0.6667 0.3333 0.7364
Se 0.0000 0.0000 0.5000
Se 0.3333 0.6667 0.0000

Total moment, μB/atom: 0.000
Polymorph energy (0 for the lowest one), meV/atom: 1.9
Volume, Å³/atom: 18.5

***

[21]
VASP calculation (PBE-GGA) on a relaxed structure of LaSm2Si4Au4.

Unit cell a=12.9577 b=12.9577 c=12.9577 alpha=160.98 beta=160.92 gamma=27.07
Positions (direct):
La 0.0000 0.0000 0.0000
Sm 0.3512 0.8512 0.5000
Sm 0.6488 0.1488 0.5000
Si 0.1920 0.6920 0.5000
Si 0.4522 0.4522 0.0000
Si 0.5478 0.5478 0.0000
Si 0.8080 0.3080 0.5000
Au 0.0957 0.5957 0.5000
Au 0.2498 0.2498 0.0000
Au 0.7502 0.7502 0.0000
Au 0.9043 0.4043 0.5000

Total moment, μB/atom: 0.001
DFT total energy, eV/cell: -57.3
Volume, Å³/atom: 21.1